# 1
Sr3Au2N, optimized geometry, DFT PBE; total energy = -3.911 eV/atom; space-group type = C2/c (15); energy relative to the elements, uncorrected = -0.590 eV/atom; DOS(E_F) = 2.670 states/eV/f.u.
1.0
7.224 -3.141 0.000
7.224 3.141 0.000
-2.031 0.000 7.396
Sr Au N
6 4 2
Cartesian
5.701 2.840 5.547 Sr
4.556 0.034 3.230 Sr
3.540 -0.034 6.928 Sr
8.878 0.034 0.468 Sr
7.862 -0.034 4.166 Sr
6.717 -2.840 1.849 Sr
2.439 0.044 0.659 Au
1.424 -0.044 4.357 Au
10.994 0.044 3.039 Au
9.978 -0.044 6.737 Au
5.701 0.379 5.547 N
6.717 -0.379 1.849 N

=====

# 2
Sr6Au2N, optimized geometry, DFT PBE; total energy = -3.162 eV/atom; space-group type = C2/m (12); energy relative to the elements, uncorrected = -0.387 eV/atom; DOS(E_F) = 5.217 states/eV/f.u.
1.0
7.308 -2.171 0.000
7.308 2.171 0.000
-4.628 0.000 11.117
Sr Au N
6 2 1
Cartesian
-1.297 0.000 3.282 Sr
-0.176 0.000 6.658 Sr
0.671 0.000 10.529 Sr
9.317 0.000 0.588 Sr
10.164 0.000 4.459 Sr
11.285 0.000 7.835 Sr
3.736 0.000 2.172 Au
6.252 0.000 8.945 Au
-2.314 0.000 5.558 N

=====

# 3
SrAuN, optimized geometry, DFT PBE; total energy = -3.547 eV/atom; space-group type = P6_3/mmc (194); energy relative to the elements, uncorrected = 0.881 eV/atom; DOS(E_F) = 0.394 states/eV/f.u.
1.0
5.468 0.000 0.000
-2.734 4.736 0.000
0.000 0.000 10.278
Sr Au N
2 2 2
Cartesian
0.000 0.000 2.570 Sr
0.000 0.000 7.709 Sr
0.000 3.157 2.570 Au
2.734 1.579 7.709 Au
0.000 0.000 0.000 N
0.000 0.000 5.139 N

=====

# 4
SrAuN, optimized geometry, DFT PBE; total energy = -4.769 eV/atom; space-group type = Cmcm (63); energy relative to the elements, uncorrected = -0.341 eV/atom; DOS(E_F) = 0.015 states/eV/f.u.
1.0
2.692 -2.845 0.000
2.692 2.845 0.000
0.000 0.000 7.991
Sr Au N
2 2 2
Cartesian
2.692 2.600 5.993 Sr
2.692 -2.600 1.998 Sr
2.692 0.000 0.000 Au
2.692 0.000 3.996 Au
2.692 0.586 1.998 N
2.692 -0.586 5.993 N

=====

# 5
SrAuN, optimized geometry, DFT PBE; total energy = -4.523 eV/atom; space-group type = Pnma (62); energy relative to the elements, uncorrected = -0.095 eV/atom; DOS(E_F) = 0.000 states/eV/f.u.
1.0
8.129 0.000 0.000
0.000 3.985 0.000
0.000 0.000 7.965
Sr Au N
4 4 4
Cartesian
0.119 0.996 1.887 Sr
3.946 2.989 5.870 Sr
4.183 0.996 2.095 Sr
8.011 2.989 6.078 Sr
1.936 2.989 3.579 Au
2.129 0.996 7.562 Au
6.000 2.989 0.403 Au
6.194 0.996 4.386 Au
1.749 2.989 7.892 N
2.316 0.996 3.910 N
5.814 2.989 4.055 N
6.380 0.996 0.073 N

=====

# 6
SrAuN, optimized geometry, DFT PBE; total energy = -4.881 eV/atom; space-group type = P1 (1); energy relative to the elements, uncorrected = -0.452 eV/atom; DOS(E_F) = 0.661 states/eV/f.u.
1.0
4.117 0.000 0.000
-0.431 4.216 0.000
-1.914 -0.228 8.735
Sr Au N
2 2 2
Cartesian
0.000 0.000 0.000 Sr
-0.238 2.157 4.228 Sr
2.028 0.050 2.694 Au
2.045 0.037 5.603 Au
-0.510 2.274 8.533 N
0.369 1.487 8.541 N

=====

# 7
SrAuN, optimized geometry, DFT PBE; total energy = -4.880 eV/atom; space-group type = P1 (1); energy relative to the elements, uncorrected = -0.452 eV/atom; DOS(E_F) = 0.747 states/eV/f.u.
1.0
4.162 0.000 0.000
-0.437 4.139 0.000
-1.862 -2.042 8.523
Sr Au N
2 2 2
Cartesian
0.000 0.000 0.000 Sr
-0.229 2.059 4.261 Sr
0.000 0.028 7.043 Au
1.862 2.069 1.480 Au
1.631 0.383 4.260 N
2.509 -0.406 4.263 N

=====

# 8
Sr6AuN, optimized geometry, DFT PBE; total energy = -3.084 eV/atom; space-group type = C2/m (12); energy relative to the elements, uncorrected = -0.372 eV/atom; DOS(E_F) = 6.168 states/eV/f.u.
1.0
3.688 -6.289 0.000
3.688 6.289 0.000
-2.026 0.000 6.898
Sr Au N
6 1 1
Cartesian
1.022 1.885 1.607 Sr
0.189 0.000 5.446 Sr
1.022 -1.885 1.607 Sr
4.327 1.885 5.292 Sr
5.159 0.000 1.452 Sr
4.327 -1.885 5.292 Sr
2.674 0.000 3.449 Au
0.000 0.000 0.000 N